# TcHgAsO | the Open Quantum Materials Database | GGA-PBE | optimized geometry
# Spin magnetization in μB/atom: 0.3106
# Offset from the most stable computed form in eV/f.u.: 2.163
data_TcHgAsO
_space_group_name_H-M_alt 'P 4/n m m'
_space_group_IT_number 129
_cell_length_a 4.210
_cell_length_b 4.210
_cell_length_c 7.498
_cell_angle_alpha 90.00
_cell_angle_beta 90.00
_cell_angle_gamma 90.00
loop_
_space_group_symop_operation_xyz
'x,y,z'
'-x,-y,-z'
'-y+1/2,x,z'
'y+1/2,-x,-z'
'-x+1/2,-y+1/2,z'
'x+1/2,y+1/2,-z'
'y,-x+1/2,z'
'-y,x+1/2,-z'
'x+1/2,-y,-z'
'-x+1/2,y,z'
'-y,-x,-z'
'y,x,z'
'-x,y+1/2,-z'
'x,-y+1/2,z'
'y+1/2,x+1/2,-z'
'-y+1/2,-x+1/2,z'
loop_
_atom_site_label
_atom_site_type_symbol
_atom_site_fract_x
_atom_site_fract_y
_atom_site_fract_z
Tc1 Tc 0.250 0.750 0.000
Hg1 Hg 0.250 0.250 0.366
As1 As 0.250 0.250 0.827
O1 O 0.250 0.750 0.500